Record 1
Material: YTa2
Method: DFT, GGA-PBE
State: relaxed

The value obtained for the formation enthalpy at 0 K is 454 meV per atom. The value obtained for the relative energy among the computed polymorphs is 0.208 eV per atom.

Cell and atoms, written as CIF:
```
data_YTa2
_chemical_formula_sum 'Y2 Ta4'
_cell_length_a 2.9191
_cell_length_b 2.9191
_cell_length_c 15.0895
_cell_angle_alpha 90.00
_cell_angle_beta 90.00
_cell_angle_gamma 90.00
_space_group_name_H-M_alt 'I 4/m m m'
_space_group_IT_number 139
_space_group_name_Hall '-I 4 2'
loop_
_atom_site_label
_atom_site_type_symbol
_atom_site_fract_x
_atom_site_fract_y
_atom_site_fract_z
Y1 Y 0.0000 0.0000 0.0000
Ta1 Ta 0.0000 0.0000 0.3243
```

=====

Record 2
Material: NiOsBr2
Method: DFT, GGA-PBE
State: relaxed

The value obtained for the relative energy among the computed polymorphs is 0.294 eV per atom.

Cell and atoms, written as CIF:
```
data_NiOsBr2
_chemical_formula_sum 'Ni2 Os2 Br4'
_cell_length_a 3.0425
_cell_length_b 5.5467
_cell_length_c 9.8888
_cell_angle_alpha 90.00
_cell_angle_beta 90.00
_cell_angle_gamma 90.00
_space_group_name_H-M_alt 'C m m 2'
_space_group_IT_number 35
_space_group_name_Hall 'C 2 -2'
loop_
_atom_site_label
_atom_site_type_symbol
_atom_site_fract_x
_atom_site_fract_y
_atom_site_fract_z
Ni1 Ni 0.0000 0.0000 0.0000
Os1 Os 0.0000 0.5000 0.8075
Br1 Br 0.0000 0.0000 0.5949
Br2 Br 0.0000 0.5000 0.1920
```

=====

Record 3
Material: BaLi2La
Method: DFT, GGA-PBE
State: relaxed

The value obtained for the formation enthalpy at 0 K is 359 meV per atom. The value obtained for the relative energy among the computed polymorphs is 0.242 eV per atom.

Cell and atoms, written as CIF:
```
data_BaLi2La
_chemical_formula_sum 'Ba4 Li8 La4'
_cell_length_a 8.9537
_cell_length_b 8.9537
_cell_length_c 7.1358
_cell_angle_alpha 90.00
_cell_angle_beta 90.00
_cell_angle_gamma 90.00
_space_group_name_H-M_alt 'I -4 2 d'
_space_group_IT_number 122
_space_group_name_Hall 'I -4 2bw'
loop_
_atom_site_label
_atom_site_type_symbol
_atom_site_fract_x
_atom_site_fract_y
_atom_site_fract_z
Ba1 Ba 0.0000 0.0000 0.0000
Li1 Li 0.2390 0.7500 0.6250
La1 La 0.0000 0.0000 0.5000
```

=====

Record 4
Material: Cs2Np2PaS6
Method: DFT, GGA-PBE
State: relaxed

The total DFT energy (no corrections) comes out at -0.26076 Ha/atom.

Cell and atoms, written as CIF:
```
data_Cs2Np2PaS6
_chemical_formula_sum 'Cs4 Np4 Pa2 S12'
_cell_length_a 7.0469
_cell_length_b 12.1894
_cell_length_c 8.5971
_cell_angle_alpha 90.00
_cell_angle_beta 106.04
_cell_angle_gamma 90.00
_space_group_name_H-M_alt 'C 1 2/m 1'
_space_group_IT_number 12
_space_group_name_Hall '-C 2y'
loop_
_atom_site_label
_atom_site_type_symbol
_atom_site_fract_x
_atom_site_fract_y
_atom_site_fract_z
Cs1 Cs 0.0000 0.1683 0.0000
Np1 Np 0.0000 0.3341 0.5000
Pa1 Pa 0.0000 0.0000 0.5000
S1 S 0.2222 0.1641 0.6762
S2 S 0.2339 0.5000 0.6769
```

=====

Record 5
Material: CrSe7
Method: DFT, GGA-PBE
State: relaxed

The total DFT energy (no corrections) comes out at -0.13360 Ha/atom.

Cell and atoms, written as CIF:
```
data_CrSe7
_chemical_formula_sum 'Cr4 Se28'
_cell_length_a 8.6315
_cell_length_b 8.6315
_cell_length_c 8.6315
_cell_angle_alpha 90.00
_cell_angle_beta 90.00
_cell_angle_gamma 90.00
_space_group_name_H-M_alt 'F m -3 m'
_space_group_IT_number 225
_space_group_name_Hall '-F 4 2 3'
loop_
_atom_site_label
_atom_site_type_symbol
_atom_site_fract_x
_atom_site_fract_y
_atom_site_fract_z
Cr1 Cr 0.0000 0.0000 0.0000
Se1 Se 0.0000 0.0000 0.5000
Se2 Se 0.0000 0.2500 0.2500
```

=====

Record 6
Material: CaMgOs
Method: DFT, GGA-PBE
State: relaxed

The value obtained for the formation enthalpy at 0 K is 185 meV per atom.

Cell and atoms, written as CIF:
```
data_CaMgOs
_chemical_formula_sum 'Ca2 Mg2 Os2'
_cell_length_a 4.5932
_cell_length_b 5.5944
_cell_length_c 6.2984
_cell_angle_alpha 85.95
_cell_angle_beta 68.63
_cell_angle_gamma 65.78
_space_group_name_H-M_alt 'P -1'
_space_group_IT_number 2
_space_group_name_Hall '-P 1'
loop_
_atom_site_label
_atom_site_type_symbol
_atom_site_fract_x
_atom_site_fract_y
_atom_site_fract_z
Ca1 Ca 0.2403 0.1809 0.3378
Mg1 Mg 0.0872 0.7194 0.1039
Os1 Os 0.4366 0.4389 0.6898
```

=====

Record 7
Material: Ba2Zn3Cu4
Method: DFT, GGA-PBE
State: relaxed

The value obtained for the formation enthalpy at 0 K is 25 meV per atom.

Cell and atoms, written as CIF:
```
data_Ba2Zn3Cu4
_chemical_formula_sum 'Ba16 Zn24 Cu32'
_cell_length_a 6.0087
_cell_length_b 9.3795
_cell_length_c 26.6182
_cell_angle_alpha 90.00
_cell_angle_beta 90.00
_cell_angle_gamma 90.00
_space_group_name_H-M_alt 'F d d d'
_space_group_IT_number 70
loop_
_space_group_symop_operation_xyz
'x,y,z'
'-x,-y,-z'
'-x+1/4,-y+1/4,z'
'x+1/4,y+1/4,-z'
'x,-y+1/4,-z+1/4'
'-x,y+1/4,z+1/4'
'-x+1/4,y,-z+1/4'
'x+1/4,-y,z+1/4'
'x,y+1/2,z+1/2'
'-x,-y+1/2,-z+1/2'
'-x+1/4,-y+3/4,z+1/2'
'x+1/4,y+3/4,-z+1/2'
'x,-y+3/4,-z+3/4'
'-x,y+3/4,z+3/4'
'-x+1/4,y+1/2,-z+3/4'
'x+1/4,-y+1/2,z+3/4'
'x+1/2,y,z+1/2'
'-x+1/2,-y,-z+1/2'
'-x+3/4,-y+1/4,z+1/2'
'x+3/4,y+1/4,-z+1/2'
'x+1/2,-y+1/4,-z+3/4'
'-x+1/2,y+1/4,z+3/4'
'-x+3/4,y,-z+3/4'
'x+3/4,-y,z+3/4'
'x+1/2,y+1/2,z'
'-x+1/2,-y+1/2,-z'
'-x+3/4,-y+3/4,z'
'x+3/4,y+3/4,-z'
'x+1/2,-y+3/4,-z+1/4'
'-x+1/2,y+3/4,z+1/4'
'-x+3/4,y+1/2,-z+1/4'
'x+3/4,-y+1/2,z+1/4'
loop_
_atom_site_label
_atom_site_type_symbol
_atom_site_fract_x
_atom_site_fract_y
_atom_site_fract_z
Ba1 Ba 0.1250 0.1250 0.0483
Zn1 Zn 0.1250 0.1250 0.3711
Zn2 Zn 0.1250 0.1250 0.6250
Cu1 Cu 0.0831 0.2669 0.7049
```

=====

Record 8
Material: CuSeF3
Method: DFT, GGA-PBE
State: relaxed

The value obtained for the relative energy among the computed polymorphs is 0.692 eV per atom.

Cell and atoms, written as CIF:
```
data_CuSeF3
_chemical_formula_sum 'Cu1 Se1 F3'
_cell_length_a 4.3595
_cell_length_b 4.3595
_cell_length_c 4.3595
_cell_angle_alpha 90.00
_cell_angle_beta 90.00
_cell_angle_gamma 90.00
_space_group_name_H-M_alt 'P m -3 m'
_space_group_IT_number 221
_space_group_name_Hall '-P 4 2 3'
loop_
_atom_site_label
_atom_site_type_symbol
_atom_site_fract_x
_atom_site_fract_y
_atom_site_fract_z
Cu1 Cu 0.0000 0.0000 0.0000
Se1 Se 0.5000 0.5000 0.5000
F1 F 0.0000 0.5000 0.5000
```

=====

Record 9
Material: AcPaBiPd
Method: DFT, GGA-PBE
State: relaxed

The value obtained for the formation enthalpy at 0 K is -187 meV per atom.

Cell and atoms, written as CIF:
```
data_AcPaBiPd
_chemical_formula_sum 'Ac4 Pa4 Bi4 Pd4'
_cell_length_a 7.7380
_cell_length_b 7.7380
_cell_length_c 7.7380
_cell_angle_alpha 90.00
_cell_angle_beta 90.00
_cell_angle_gamma 90.00
_space_group_name_H-M_alt 'F -4 3 m'
_space_group_IT_number 216
_space_group_name_Hall 'F -4 2 3'
loop_
_atom_site_label
_atom_site_type_symbol
_atom_site_fract_x
_atom_site_fract_y
_atom_site_fract_z
Ac1 Ac 0.0000 0.0000 0.0000
Pa1 Pa 0.0000 0.0000 0.5000
Bi1 Bi 0.2500 0.2500 0.7500
Pd1 Pd 0.2500 0.2500 0.2500
```

=====

Record 10
Material: LiCu2Ir
Method: DFT, GGA-PBE
State: relaxed

The value obtained for the formation enthalpy at 0 K is 8 meV per atom. The value obtained for the relative energy among the computed polymorphs is 0.098 eV per atom.

Cell and atoms, written as CIF:
```
data_LiCu2Ir
_chemical_formula_sum 'Li1 Cu2 Ir1'
_cell_length_a 2.5261
_cell_length_b 3.9910
_cell_length_c 5.1541
_cell_angle_alpha 90.00
_cell_angle_beta 90.00
_cell_angle_gamma 90.00
_space_group_name_H-M_alt 'P m m m'
_space_group_IT_number 47
_space_group_name_Hall '-P 2 2'
loop_
_atom_site_label
_atom_site_type_symbol
_atom_site_fract_x
_atom_site_fract_y
_atom_site_fract_z
Li1 Li 0.0000 0.0000 0.0000
Cu1 Cu 0.5000 0.5000 0.2542
Ir1 Ir 0.0000 0.0000 0.5000
```